{
  "formula": "YCrMo",
  "functional": "PBE",
  "state": "optimized geometry",
  "formation_energy_ev_per_fu": 0.98,
  "de_polymorph_ev_per_atom": 0.000,
  "magnetic_moment_mub_per_fu": 0.3,
  "lattice_angstrom": [[5.862, 0.003, 0.000], [4.116, 4.174, 0.000], [-4.989, -2.088, 2.261]],
  "species": ["Cr", "Y", "Mo"],
  "fractional_positions": [[0.971, 0.971, 0.000], [0.665, 0.665, 0.000], [0.364, 0.364, 0.000]]
}